Version i
Computed, not measured: a PBEsol-optimized structure of SiTc5 at the meta-GGA SCAN level of DFT.

Structure (extended XYZ):
```
6
Lattice="4.718 -1.433 0.000 4.718 1.433 0.000 -2.283 0.000 6.014" Properties=species:S:1:pos:R:3 pbc="T T T"
Si 0.000 0.000 0.000
Tc -1.142 0.000 3.007
Tc 1.531 0.000 4.106
Tc 2.950 0.000 0.914
Tc 4.203 0.000 5.100
Tc 5.622 0.000 1.908
```

Values from the calculation:
* N(E_F): 4.578 states/eV per cell

***

Version ii
Computed, not measured: a PBEsol-optimized structure of SiTc5 at the meta-GGA SCAN level of DFT.

Structure (extended XYZ):
```
6
Lattice="4.320 0.000 0.000 0.000 1.391 6.822 0.000 -1.391 6.822" Properties=species:S:1:pos:R:3 pbc="T T T"
Si 0.000 0.000 0.000
Tc 0.000 0.000 4.490
Tc 0.000 0.000 9.013
Tc 2.160 0.000 2.987
Tc 2.160 0.000 7.509
Tc 2.160 0.000 12.103
```

Values from the calculation:
* N(E_F): 4.179 states/eV per cell

***

Quick one: most stable of them? version i

***

Version i
Computed, not measured: a PBEsol-optimized structure of Tl2SiTc at the meta-GGA SCAN level of DFT.

Structure (extended XYZ):
```
4
Lattice="3.144 0.000 0.000 0.000 3.144 0.000 0.000 0.000 8.383" Properties=species:S:1:pos:R:3 pbc="T T T"
Tl 0.000 0.000 0.000
Tl 1.572 1.572 3.034
Si 0.000 0.000 5.330
Tc 1.572 1.572 6.290
```

Values from the calculation:
* N(E_F): 2.829 states/eV per cell

***

Version ii
Computed, not measured: a PBEsol-optimized structure of Tl2SiTc at the meta-GGA SCAN level of DFT.

Structure (extended XYZ):
```
4
Lattice="1.621 0.936 8.596 -1.621 0.936 8.596 0.000 -1.871 8.596" Properties=species:S:1:pos:R:3 pbc="T T T"
Tl 0.000 0.000 6.390
Tl 0.000 0.000 19.399
Si 0.000 0.000 0.000
Tc 0.000 0.000 12.894
```

Values from the calculation:
* N(E_F): 2.642 states/eV per cell

***

Quick one: most stable of them? version i

***

Version i
Computed, not measured: a PBEsol-optimized structure of YSi2Tc at the meta-GGA SCAN level of DFT.

Structure (extended XYZ):
```
4
Lattice="3.198 0.000 0.000 0.000 3.198 0.000 0.000 0.000 6.513" Properties=species:S:1:pos:R:3 pbc="T T T"
Y 0.000 0.000 0.000
Si 0.000 0.000 3.422
Si 1.599 1.599 1.999
Tc 1.599 1.599 4.422
```

Values from the calculation:
* N(E_F): 2.230 states/eV per cell

***

Version ii
Computed, not measured: a PBEsol-optimized structure of YSi2Tc at the meta-GGA SCAN level of DFT.

Structure (extended XYZ):
```
4
Lattice="2.040 1.178 4.831 -2.040 1.178 4.831 0.000 -2.355 4.831" Properties=species:S:1:pos:R:3 pbc="T T T"
Y 0.000 0.000 0.000
Si 0.000 0.000 3.080
Si 0.000 0.000 11.412
Tc 0.000 0.000 7.246
```

Values from the calculation:
* N(E_F): 2.283 states/eV per cell

***

Version iii
Computed, not measured: a PBEsol-optimized structure of YSi2Tc at the meta-GGA SCAN level of DFT.

Structure (extended XYZ):
```
4
Lattice="2.774 -3.590 0.000 2.774 3.590 0.000 0.000 0.000 3.287" Properties=species:S:1:pos:R:3 pbc="T T T"
Y 0.000 0.000 0.000
Si 1.387 1.795 1.644
Si 1.387 -1.795 1.644
Tc 2.774 0.000 0.000
```

Values from the calculation:
* N(E_F): 2.766 states/eV per cell

***

Quick one: most stable of them? version ii

***

Version i
Computed, not measured: a PBEsol-optimized structure of ZnSiTc2 at the meta-GGA SCAN level of DFT.

Structure (extended XYZ):
```
4
Lattice="2.936 0.000 0.000 0.000 4.070 0.000 0.000 0.000 4.549" Properties=species:S:1:pos:R:3 pbc="T T T"
Zn 0.000 0.000 0.000
Si 1.468 0.000 2.274
Tc 0.000 2.035 2.274
Tc 1.468 2.035 0.000
```

Values from the calculation:
* N(E_F): 2.900 states/eV per cell

***

Version ii
Computed, not measured: a PBEsol-optimized structure of ZnSiTc2 at the meta-GGA SCAN level of DFT.

Structure (extended XYZ):
```
4
Lattice="-1.500 2.059 4.296 1.500 -2.059 4.296 1.500 2.059 -4.296" Properties=species:S:1:pos:R:3 pbc="T T T"
Zn 0.000 0.000 0.000
Si 1.500 0.000 2.150
Tc 0.000 0.000 4.123
Tc 0.000 2.059 2.016
```

Values from the calculation:
* N(E_F): 2.684 states/eV per cell

***

Version iii
Computed, not measured: a PBEsol-optimized structure of ZnSiTc2 at the meta-GGA SCAN level of DFT.

Structure (extended XYZ):
```
4
Lattice="1.496 -2.252 0.000 1.496 2.252 0.000 0.000 0.000 8.107" Properties=species:S:1:pos:R:3 pbc="T T T"
Zn 0.000 0.000 0.000
Si 0.000 0.000 4.054
Tc 1.496 0.000 2.164
Tc 1.496 0.000 5.943
```

Values from the calculation:
* N(E_F): 2.989 states/eV per cell

***

Quick one: most stable of them? version ii

***

Version i
Computed, not measured: a PBEsol-optimized structure of ZnSiTc2 at the meta-GGA SCAN level of DFT.

Structure (extended XYZ):
```
4
Lattice="0.000 2.965 2.965 2.965 0.000 2.965 2.965 2.965 0.000" Properties=species:S:1:pos:R:3 pbc="T T T"
Zn 0.000 0.000 0.000
Si 2.965 2.965 2.965
Tc 1.482 1.482 1.482
Tc 4.447 4.447 4.447
```

Values from the calculation:
* N(E_F): 3.548 states/eV per cell

***

Version ii
Computed, not measured: a PBEsol-optimized structure of ZnSiTc2 at the meta-GGA SCAN level of DFT.

Structure (extended XYZ):
```
4
Lattice="4.129 -1.397 0.000 4.129 1.397 0.000 -1.036 0.000 4.708" Properties=species:S:1:pos:R:3 pbc="T T T"
Zn 0.000 0.000 0.000
Si 3.611 0.000 2.354
Tc 1.217 0.000 3.492
Tc 6.004 0.000 1.216
```

Values from the calculation:
* N(E_F): 2.186 states/eV per cell

***

Quick one: most stable of them? version i

***

Version i
Computed, not measured: a PBEsol-optimized structure of Zn2SiTc at the meta-GGA SCAN level of DFT.

Structure (extended XYZ):
```
4
Lattice="-1.840 1.840 3.906 1.840 -1.840 3.906 1.840 1.840 -3.906" Properties=species:S:1:pos:R:3 pbc="T T T"
Zn 0.000 0.000 0.000
Zn 0.000 1.840 1.953
Si 0.000 0.000 3.906
Tc 1.840 0.000 1.953
```

Values from the calculation:
* N(E_F): 0.789 states/eV per cell

***

Version ii
Computed, not measured: a PBEsol-optimized structure of Zn2SiTc at the meta-GGA SCAN level of DFT.

Structure (extended XYZ):
```
4
Lattice="-1.587 1.919 4.336 1.587 -1.919 4.336 1.587 1.919 -4.336" Properties=species:S:1:pos:R:3 pbc="T T T"
Zn 0.000 0.000 2.138
Zn 0.000 0.000 6.533
Si 1.587 0.000 0.000
Tc 0.000 1.919 0.000
```

Values from the calculation:
* N(E_F): 0.901 states/eV per cell

***

Quick one: most stable of them? version ii

***

Version i
Computed, not measured: a PBEsol-optimized structure of TlSi2Te at the meta-GGA SCAN level of DFT.

Structure (extended XYZ):
```
8
Lattice="-3.000 3.000 6.494 3.000 -3.000 6.494 3.000 3.000 -6.494" Properties=species:S:1:pos:R:3 pbc="T T T"
Tl 0.000 0.000 0.000
Tl 0.000 3.000 3.247
Si 4.499 1.442 -1.624
Si 1.442 1.500 1.624
Si -1.500 1.557 4.871
Si 1.557 1.500 8.118
Te 3.000 0.000 3.247
Te 0.000 0.000 6.494
```

Values from the calculation:
* N(E_F): 5.284 states/eV per cell

***

Version ii
Computed, not measured: a PBEsol-optimized structure of TlSi2Te at the meta-GGA SCAN level of DFT.

Structure (extended XYZ):
```
4
Lattice="3.260 0.000 0.000 0.000 3.260 0.000 0.000 0.000 9.340" Properties=species:S:1:pos:R:3 pbc="T T T"
Tl 0.000 0.000 0.000
Si 0.000 0.000 2.874
Si 1.630 1.630 3.663
Te 1.630 1.630 6.250
```

Values from the calculation:
* N(E_F): 1.768 states/eV per cell

***

Version iii
Computed, not measured: a PBEsol-optimized structure of TlSi2Te at the meta-GGA SCAN level of DFT.

Structure (extended XYZ):
```
4
Lattice="3.309 -4.702 0.000 3.309 4.702 0.000 -1.156 0.000 2.836" Properties=species:S:1:pos:R:3 pbc="T T T"
Tl 0.000 0.000 0.000
Si 1.077 2.351 1.418
Si 1.077 -2.351 1.418
Te 3.309 0.000 0.000
```

Values from the calculation:
* N(E_F): 1.925 states/eV per cell

***

Quick one: most stable of them? version ii

***

Version i
Computed, not measured: a PBEsol-optimized structure of Tl2SiTe at the meta-GGA SCAN level of DFT.

Structure (extended XYZ):
```
4
Lattice="0.000 3.726 3.726 3.726 0.000 3.726 3.726 3.726 0.000" Properties=species:S:1:pos:R:3 pbc="T T T"
Tl 0.000 0.000 0.000
Tl 1.863 1.863 1.863
Si 5.588 5.588 5.588
Te 3.726 3.726 3.726
```

Values from the calculation:
* N(E_F): 2.655 states/eV per cell

***

Version ii
Computed, not measured: a PBEsol-optimized structure of Tl2SiTe at the meta-GGA SCAN level of DFT.

Structure (extended XYZ):
```
4
Lattice="1.612 0.931 11.431 -1.612 0.931 11.431 0.000 -1.862 11.431" Properties=species:S:1:pos:R:3 pbc="T T T"
Tl 0.000 0.000 8.269
Tl 0.000 0.000 26.026
Si 0.000 0.000 17.147
Te 0.000 0.000 0.000
```

Values from the calculation:
* N(E_F): 3.097 states/eV per cell

***

Quick one: most stable of them? version i

***

Version i
Computed, not measured: a PBEsol-optimized structure of ZrSi2Te at the meta-GGA SCAN level of DFT.

Structure (extended XYZ):
```
4
Lattice="4.740 -1.825 0.000 4.740 1.825 0.000 -0.012 0.000 4.952" Properties=species:S:1:pos:R:3 pbc="T T T"
Zr 0.000 0.000 0.000
Si 2.673 0.000 0.673
Si 6.794 0.000 4.279
Te 4.734 0.000 2.476
```

Values from the calculation:
* N(E_F): 1.546 states/eV per cell

***

Version ii
Computed, not measured: a PBEsol-optimized structure of ZrSi2Te at the meta-GGA SCAN level of DFT.

Structure (extended XYZ):
```
4
Lattice="3.425 0.000 0.000 0.000 4.709 0.000 0.000 0.000 4.723" Properties=species:S:1:pos:R:3 pbc="T T T"
Zr 0.000 0.000 0.000
Si 1.713 0.000 2.361
Si 1.713 2.355 0.000
Te 0.000 2.355 2.361
```

Values from the calculation:
* N(E_F): 2.232 states/eV per cell

***

Quick one: most stable of them? version i

***

Version i
Computed, not measured: a PBEsol-optimized structure of Zr2SiTe at the meta-GGA SCAN level of DFT.

Structure (extended XYZ):
```
4
Lattice="-2.047 2.047 4.724 2.047 -2.047 4.724 2.047 2.047 -4.724" Properties=species:S:1:pos:R:3 pbc="T T T"
Zr 0.000 0.000 0.000
Zr 0.000 2.047 2.362
Si 0.000 0.000 4.724
Te 2.047 0.000 2.362
```

Values from the calculation:
* N(E_F): 4.057 states/eV per cell

***

Version ii
Computed, not measured: a PBEsol-optimized structure of Zr2SiTe at the meta-GGA SCAN level of DFT.

Structure (extended XYZ):
```
4
Lattice="4.640 0.000 0.000 0.000 1.747 5.026 0.000 -1.747 5.026" Properties=species:S:1:pos:R:3 pbc="T T T"
Zr 0.000 0.000 0.000
Zr 2.320 0.000 2.644
Si 0.000 0.000 7.296
Te 2.320 0.000 5.434
```

Values from the calculation:
* N(E_F): 2.455 states/eV per cell

***

Quick one: most stable of them? version ii

***

Version i
Computed, not measured: a PBEsol-optimized structure of Y3TiSi at the meta-GGA SCAN level of DFT.

Structure (extended XYZ):
```
5
Lattice="5.334 0.000 0.000 0.000 5.334 0.000 0.000 0.000 5.334" Properties=species:S:1:pos:R:3 pbc="T T T"
Y 0.000 0.000 2.667
Y 0.000 2.667 0.000
Y 2.667 0.000 0.000
Ti 2.667 2.667 2.667
Si 0.000 0.000 0.000
```

Values from the calculation:
* N(E_F): 4.303 states/eV per cell

***

Version ii
Computed, not measured: a PBEsol-optimized structure of Y3TiSi at the meta-GGA SCAN level of DFT.

Structure (extended XYZ):
```
5
Lattice="5.099 0.000 0.000 0.000 5.099 0.000 0.000 0.000 5.099" Properties=species:S:1:pos:R:3 pbc="T T T"
Y 0.000 0.000 2.549
Y 0.000 2.549 0.000
Y 2.549 0.000 0.000
Ti 0.000 0.000 0.000
Si 2.549 2.549 2.549
```

Values from the calculation:
* N(E_F): 3.877 states/eV per cell

***

Quick one: most stable of them? version i

***

Version i
Computed, not measured: a PBEsol-optimized structure of TlSi2 at the meta-GGA SCAN level of DFT.

Structure (extended XYZ):
```
6
Lattice="4.631 0.000 0.000 -2.316 4.011 0.000 0.000 0.000 6.444" Properties=species:S:1:pos:R:3 pbc="T T T"
Tl 0.000 0.000 1.611
Tl 0.000 0.000 4.833
Si 0.000 2.674 0.334
Si 0.000 2.674 2.889
Si 2.316 1.337 3.556
Si 2.316 1.337 6.111
```

Values from the calculation:
* N(E_F): 1.953 states/eV per cell

***

Version ii
Computed, not measured: a PBEsol-optimized structure of TlSi2 at the meta-GGA SCAN level of DFT.

Structure (extended XYZ):
```
3
Lattice="3.948 0.000 0.000 -1.974 3.419 0.000 0.000 0.000 5.134" Properties=species:S:1:pos:R:3 pbc="T T T"
Tl 0.000 0.000 0.000
Si 0.000 2.279 2.567
Si 1.974 1.140 2.567
```

Values from the calculation:
* N(E_F): 1.178 states/eV per cell

***

Quick one: most stable of them? version ii